(1)
Here is a geometry-optimized BaZrTl2 structure from Alexandria via LeMat-Bulk. Energies are from PBE.

CIF file:
```
data_BaZrTl2
_cell_length_a 3.509
_cell_length_b 3.509
_cell_length_c 9.410
_cell_angle_alpha 90.00
_cell_angle_beta 90.00
_cell_angle_gamma 90.00
_symmetry_space_group_name_H-M 'P 4/m m m'
_symmetry_Int_Tables_number 123
_symmetry_space_group_name_Hall '-P 4 2'
loop_
_atom_site_label
_atom_site_fract_x
_atom_site_fract_y
_atom_site_fract_z
_atom_site_occupancy
Ba1 0.000 0.000 0.000 1
Zr1 0.000 0.000 0.500 1
Tl1 0.500 0.500 0.284 1
```

Properties
Formation energy from the elements   -0.09 eV/atom
Raw total energy   -3.89 eV/atom
DOS at the Fermi energy   4.09 states/eV/f.u.


(2)
Here is a geometry-optimized BaZr2Tl structure from Alexandria via LeMat-Bulk. Energies are from PBE.

CIF file:
```
data_BaZr2Tl
_cell_length_a 3.3947
_cell_length_b 3.3947
_cell_length_c 33.1805
_cell_angle_alpha 90.00
_cell_angle_beta 90.00
_cell_angle_gamma 120.00
_symmetry_space_group_name_H-M 'R -3 m'
_symmetry_Int_Tables_number 166
_symmetry_space_group_name_Hall '-R 3 2"'
loop_
_atom_site_label
_atom_site_fract_x
_atom_site_fract_y
_atom_site_fract_z
_atom_site_occupancy
Ba1 0.0000 0.0000 0.0000 1
Zr1 0.0000 0.0000 0.2423 1
Tl1 0.0000 0.0000 0.5000 1
```

Properties
Formation energy from the elements   0.40 eV/atom
ΔE to the lowest computed polymorph   286.0 meV per atom
Raw total energy   -4.95 eV/atom
DOS at the Fermi energy   2.68 states/eV/f.u.


(3)
Here is a geometry-optimized BaZrTl structure from Alexandria via LeMat-Bulk. Energies are from PBE.

CIF file:
```
data_BaZrTl
_cell_length_a 3.550
_cell_length_b 3.550
_cell_length_c 15.090
_cell_angle_alpha 90.00
_cell_angle_beta 90.00
_cell_angle_gamma 90.00
_symmetry_space_group_name_H-M 'I 4 m m'
_symmetry_Int_Tables_number 107
_symmetry_space_group_name_Hall 'I 4 -2'
loop_
_atom_site_label
_atom_site_fract_x
_atom_site_fract_y
_atom_site_fract_z
_atom_site_occupancy
Ba1 0.000 0.000 0.000 1
Zr1 0.000 0.000 0.302 1
Tl1 0.000 0.000 0.680 1
```

Properties
Formation energy from the elements   0.19 eV/atom
ΔE to the lowest computed polymorph   288.5 meV per atom
Raw total energy   -4.09 eV/atom
DOS at the Fermi energy   2.86 states/eV/f.u.


(4)
Here is a geometry-optimized BaZr2Tl structure from Alexandria via LeMat-Bulk. Energies are from PBE.

CIF file:
```
data_BaZr2Tl
_cell_length_a 3.379
_cell_length_b 5.476
_cell_length_c 6.423
_cell_angle_alpha 90.00
_cell_angle_beta 98.28
_cell_angle_gamma 90.00
_symmetry_space_group_name_H-M 'P 1 2/m 1'
_symmetry_Int_Tables_number 10
_symmetry_space_group_name_Hall '-P 2y'
loop_
_atom_site_label
_atom_site_fract_x
_atom_site_fract_y
_atom_site_fract_z
_atom_site_occupancy
Ba1 0.000 0.000 0.000 1
Zr1 0.324 0.500 0.698 1
Tl1 0.500 0.000 0.500 1
```

Properties
Formation energy from the elements   0.34 eV/atom
ΔE to the lowest computed polymorph   225.7 meV per atom
Raw total energy   -5.01 eV/atom
DOS at the Fermi energy   4.85 states/eV/f.u.


(5)
Here is a geometry-optimized BaZr2Tl structure from Alexandria via LeMat-Bulk. Energies are from PBE.

CIF file:
```
data_BaZr2Tl
_cell_length_a 3.324
_cell_length_b 3.324
_cell_length_c 10.192
_cell_angle_alpha 90.00
_cell_angle_beta 90.00
_cell_angle_gamma 90.00
_symmetry_space_group_name_H-M 'P 4/m m m'
_symmetry_Int_Tables_number 123
_symmetry_space_group_name_Hall '-P 4 2'
loop_
_atom_site_label
_atom_site_fract_x
_atom_site_fract_y
_atom_site_fract_z
_atom_site_occupancy
Ba1 0.000 0.000 0.000 1
Zr1 0.500 0.500 0.297 1
Tl1 0.000 0.000 0.500 1
```

Properties
Formation energy from the elements   0.35 eV/atom
ΔE to the lowest computed polymorph   239.5 meV per atom
Raw total energy   -4.99 eV/atom
DOS at the Fermi energy   4.77 states/eV/f.u.


(6)
Here is a geometry-optimized BaZr2Tl structure from Alexandria via LeMat-Bulk. Energies are from PBE.

CIF file:
```
data_BaZr2Tl
_cell_length_a 4.780
_cell_length_b 4.780
_cell_length_c 9.605
_cell_angle_alpha 90.00
_cell_angle_beta 90.00
_cell_angle_gamma 90.00
_symmetry_space_group_name_H-M 'I -4 m 2'
_symmetry_Int_Tables_number 119
_symmetry_space_group_name_Hall 'I -4 -2'
loop_
_atom_site_label
_atom_site_fract_x
_atom_site_fract_y
_atom_site_fract_z
_atom_site_occupancy
Ba1 0.000 0.000 0.000 1
Zr1 0.000 0.000 0.500 1
Zr2 0.000 0.500 0.250 1
Tl1 0.000 0.500 0.750 1
```

Properties
Formation energy from the elements   0.40 eV/atom
ΔE to the lowest computed polymorph   286.7 meV per atom
Raw total energy   -4.95 eV/atom
DOS at the Fermi energy   5.81 states/eV/f.u.


(7)
Here is a geometry-optimized BaZrTl structure from Alexandria via LeMat-Bulk. Energies are from PBE.

CIF file:
```
data_BaZrTl
_cell_length_a 5.310
_cell_length_b 3.829
_cell_length_c 9.726
_cell_angle_alpha 90.00
_cell_angle_beta 105.74
_cell_angle_gamma 90.00
_symmetry_space_group_name_H-M 'P 1 2/m 1'
_symmetry_Int_Tables_number 10
_symmetry_space_group_name_Hall '-P 2y'
loop_
_atom_site_label
_atom_site_fract_x
_atom_site_fract_y
_atom_site_fract_z
_atom_site_occupancy
Ba1 0.184 0.000 0.366 1
Zr1 0.000 0.500 0.000 1
Zr2 0.500 0.000 0.000 1
Tl1 0.375 0.500 0.752 1
```

Properties
Formation energy from the elements   0.01 eV/atom
ΔE to the lowest computed polymorph   108.9 meV per atom
Raw total energy   -4.27 eV/atom
DOS at the Fermi energy   3.52 states/eV/f.u.


(8)
Here is a geometry-optimized BaZrTl structure from Alexandria via LeMat-Bulk. Energies are from PBE.

CIF file:
```
data_BaZrTl
_cell_length_a 3.608
_cell_length_b 4.414
_cell_length_c 12.513
_cell_angle_alpha 90.00
_cell_angle_beta 90.00
_cell_angle_gamma 90.00
_symmetry_space_group_name_H-M 'I m m 2'
_symmetry_Int_Tables_number 44
_symmetry_space_group_name_Hall 'I 2 -2'
loop_
_atom_site_label
_atom_site_fract_x
_atom_site_fract_y
_atom_site_fract_z
_atom_site_occupancy
Ba1 0.000 0.000 0.000 1
Zr1 0.000 0.000 0.286 1
Tl1 0.000 0.000 0.701 1
```

Properties
Formation energy from the elements   0.18 eV/atom
ΔE to the lowest computed polymorph   279.4 meV per atom
Raw total energy   -4.10 eV/atom
DOS at the Fermi energy   3.48 states/eV/f.u.